No. 1
Below is an optimized crystal structure of VGa2Br6Cl2, with properties calculated at the PBE level.

The structure in POSCAR format:
```
VGa2Br6Cl2
1.0
6.656 0.000 0.000
-3.328 5.764 0.000
0.000 0.000 9.659
Ga Br V Cl
2 6 1 2
direct
0.333 0.667 0.758
0.667 0.333 0.242
0.324 0.318 0.839
0.676 0.682 0.161
0.006 0.324 0.161
0.318 0.994 0.161
0.682 0.006 0.839
0.994 0.676 0.839
0.000 0.000 0.000
0.667 0.333 0.464
0.333 0.667 0.536
```

Summary:
As for the symmetry: P-3. Its formation energy without anion corrections is -0.8446 eV/atom.

No. 2
Below is an optimized crystal structure of VGa2Br2Cl6, with properties calculated at the PBE level.

The structure in POSCAR format:
```
VGa2Br2Cl6
1.0
-1.277 -1.420 5.940
4.148 -3.393 -3.197
8.302 6.909 3.437
Cl Br V Ga
6 2 1 2
direct
0.323 0.001 0.129
0.001 0.678 0.871
0.322 0.323 0.871
0.999 0.322 0.129
0.678 0.677 0.129
0.677 0.999 0.871
0.667 0.333 0.402
0.333 0.667 0.598
0.000 0.000 0.000
0.667 0.333 0.201
0.333 0.667 0.799
```

Summary:
As for the symmetry: P-3. Its formation energy without anion corrections is -1.0248 eV/atom.

No. 3
Below is an optimized crystal structure of ZrGa2Br4Cl2, with properties calculated at the PBE level.

The structure in POSCAR format:
```
ZrGa2Br4Cl2
1.0
6.852 0.403 0.274
1.925 7.294 0.349
1.925 3.003 6.656
Ga Br Zr Cl
2 4 1 2
direct
0.284 0.750 0.750
0.716 0.250 0.250
0.327 0.157 0.670
0.673 0.330 0.843
0.327 0.670 0.157
0.673 0.843 0.330
0.500 0.000 0.000
0.188 0.171 0.171
0.812 0.829 0.829
```

Summary:
As for the symmetry: C2/m. Its formation energy without anion corrections is -1.1144 eV/atom.